Model i:
BaReTc | Alexandria via LeMat-Bulk | PBE-GGA | optimized geometry; spin magnetization = 0.0 μB/f.u.; V = 63.5 Å³/cell
1.0
3.0580 0.0000 0.0000
-1.5290 2.6483 0.0000
0.0000 0.0000 7.8444
Ba Re Tc
1 1 1
direct
0.0000 0.0000 0.0000 Ba
0.3333 0.6667 0.3819 Re
0.6667 0.3333 0.6178 Tc

Model ii:
BaReTc | Alexandria via LeMat-Bulk | PBE-GGA | optimized geometry; spin magnetization = 0.0 μB/f.u.; V = 81.2 Å³/cell
1.0
4.1487 0.0000 0.0000
-2.0744 3.5929 0.0000
0.0000 0.0000 5.4481
Ba Re Tc
1 1 1
direct
0.0000 0.0000 0.0000 Ba
0.6667 0.3333 0.5246 Re
0.3333 0.6667 0.4762 Tc

Which of them is the most stable? Correct choice: model ii.